Material: K6TlHg23
Method: DFT, PBE
State: optimized geometry

Unit cell a=10.888 b=10.888 c=10.888 alpha=60.00 beta=60.00 gamma=60.00
Atoms (fractional coordinates):
K1 0.769 0.769 0.231
K2 0.231 0.231 0.769
K3 0.769 0.231 0.231
K4 0.231 0.769 0.769
K5 0.769 0.231 0.769
K6 0.231 0.769 0.231
Tl1 0.500 0.500 0.500
Hg1 0.537 0.154 0.154
Hg2 0.463 0.846 0.846
Hg3 0.154 0.154 0.537
Hg4 0.154 0.154 0.154
Hg5 0.846 0.846 0.463
Hg6 0.846 0.846 0.846
Hg7 0.154 0.537 0.154
Hg8 0.846 0.463 0.846
Hg9 0.500 0.500 0.000
Hg10 0.000 0.000 0.500
Hg11 0.500 0.000 0.000
Hg12 0.000 0.500 0.500
Hg13 0.500 0.000 0.500
Hg14 0.000 0.500 0.000
Hg15 0.879 0.374 0.374
Hg16 0.121 0.626 0.626
Hg17 0.374 0.374 0.879
Hg18 0.374 0.374 0.374
Hg19 0.626 0.626 0.121
Hg20 0.626 0.626 0.626
Hg21 0.374 0.879 0.374
Hg22 0.626 0.121 0.626
Hg23 0.000 0.000 0.000



Material: KTl2Hg
Method: DFT, PBE
State: optimized geometry

Output
Energy relative to the lowest polymorph listed for this composition   0.95 kcal/mol of atoms

Unit cell a=5.721 b=5.721 c=6.601 alpha=76.38 beta=76.38 gamma=40.56
Atoms (fractional coordinates):
K1 0.244 0.244 0.266
Tl1 0.015 0.015 0.945
Tl2 0.754 0.754 0.759
Hg1 0.486 0.486 0.530



Material: KTl15Hg4
Method: DFT, PBE
State: optimized geometry

Unit cell a=4.941 b=4.941 c=24.432 alpha=90.00 beta=90.00 gamma=90.00
Atoms (fractional coordinates):
K1 0.000 0.000 0.000
Tl1 0.500 0.500 0.000
Tl2 0.500 0.500 0.202
Tl3 0.500 0.500 0.401
Tl4 0.500 0.500 0.599
Tl5 0.500 0.500 0.798
Tl6 0.500 0.000 0.107
Tl7 0.500 0.000 0.299
Tl8 0.500 0.000 0.500
Tl9 0.500 0.000 0.701
Tl10 0.500 0.000 0.893
Tl11 0.000 0.500 0.107
Tl12 0.000 0.500 0.299
Tl13 0.000 0.500 0.500
Tl14 0.000 0.500 0.701
Tl15 0.000 0.500 0.893
Hg1 0.000 0.000 0.199
Hg2 0.000 0.000 0.401
Hg3 0.000 0.000 0.599
Hg4 0.000 0.000 0.801



Material: KTl2Hg2
Method: DFT, PBE
State: optimized geometry

Output
Energy relative to the lowest polymorph listed for this composition   0.00 kcal/mol of atoms

Unit cell a=5.484 b=6.714 c=5.512 alpha=65.24 beta=119.83 gamma=90.00
Atoms (fractional coordinates):
K1 0.500 0.000 0.500
Tl1 0.720 0.341 0.940
Tl2 0.280 0.659 0.060
Hg1 0.912 0.762 0.323
Hg2 0.088 0.238 0.677



Material: KTl2Hg
Method: DFT, PBE
State: optimized geometry

Output
Energy relative to the lowest polymorph listed for this composition   0.21 kcal/mol of atoms

Unit cell a=5.181 b=6.731 c=7.757 alpha=90.00 beta=90.00 gamma=90.00
Atoms (fractional coordinates):
K1 0.000 0.000 0.413
K2 0.500 0.500 0.587
Tl1 0.000 0.255 0.864
Tl2 0.000 0.745 0.864
Tl3 0.500 0.245 0.136
Tl4 0.500 0.755 0.136
Hg1 0.000 0.500 0.258
Hg2 0.500 0.000 0.742



Material: KTl4Hg
Method: DFT, PBE
State: optimized geometry

Output
Energy relative to the lowest polymorph listed for this composition   0.00 kcal/mol of atoms

Unit cell a=5.019 b=8.216 c=9.793 alpha=90.00 beta=104.85 gamma=90.00
Atoms (fractional coordinates):
K1 0.130 0.250 0.261
K2 0.870 0.750 0.739
Tl1 0.500 0.500 0.000
Tl2 0.500 0.000 0.000
Tl3 0.672 0.951 0.345
Tl4 0.328 0.049 0.655
Tl5 0.328 0.451 0.655
Tl6 0.672 0.549 0.345
Tl7 0.058 0.750 0.116
Tl8 0.942 0.250 0.884
Hg1 0.226 0.750 0.452
Hg2 0.774 0.250 0.548



Ordered D(E_F) results: 0.37; 0.43; 0.44; 0.37; 0.58; 0.41; unit states/eV/atom.
Ordered calculated volume results: 30.4; 34.0; 29.8; 30.8; 33.8; 32.5; unit A^3/atom.
Ordered ΔE_f results: -183; -78; 9; -128; -110; -81; unit meV per atom.